Record 1
The following is a DFT calculation (PBE-GGA) of an optimized crystal structure of Mg2AgBr.

The offset from the most stable computed form comes out at 0.100 eV/atom. Its uncorrected formation energy is -1.419 eV per formula unit.

The structure belongs to space group Imm2 (No. 44); the cell edges are 3.4001, 3.5227 and 16.4079 Å and the angles 90.00°, 90.00° and 90.00°. The asymmetric unit holds Mg at (0.0000, 0.0000, 0.0000), Mg at (0.0000, 0.5000, 0.2166), Ag at (0.0000, 0.5000, 0.6354) and Br at (0.0000, 0.0000, 0.4041).

Record 2
The following is a DFT calculation (PBE-GGA) of an optimized crystal structure of LiDy3Tl4.

The value obtained for the formation energy is -31 kJ per mole of atoms.

The structure belongs to space group R-3m (No. 166, hexagonal axes); the cell edges are 5.2332, 5.2332 and 26.4472 Å and the angles 90.00°, 90.00° and 120.00°. The asymmetric unit holds Li at (0.0000, 0.0000, 0.0000), Dy at (0.0000, 0.0000, 0.2545), Dy at (0.0000, 0.0000, 0.5000), Tl at (0.0000, 0.0000, 0.1230) and Tl at (0.0000, 0.0000, 0.3728).

Record 3
The following is a DFT calculation (PBE-GGA) of an optimized crystal structure of SmGa2AgAu4.

The value obtained for the formation energy is -36 kJ per mole of atoms.

The structure belongs to space group R-3m (No. 166, hexagonal axes); the cell edges are 4.5281, 4.5281 and 26.9106 Å and the angles 90.00°, 90.00° and 120.00°. The asymmetric unit holds Sm at (0.0000, 0.0000, 0.0000), Ga at (0.0000, 0.0000, 0.2449), Ag at (0.0000, 0.0000, 0.5000), Au at (0.0000, 0.0000, 0.1243) and Au at (0.0000, 0.0000, 0.3929).

Record 4
The following is a DFT calculation (PBE-GGA) of an optimized crystal structure of La6Pr12Sn.

The value obtained for the formation energy is 0 kJ per mole of atoms.

The structure belongs to space group R-3 (No. 148, hexagonal axes); the cell edges are 12.3350, 12.3350 and 15.4779 Å and the angles 90.00°, 90.00° and 120.00°. The asymmetric unit holds La at (0.0205, 0.5949, 0.1877), Pr at (0.0169, 0.8395, 0.3147), Pr at (0.0525, 0.2014, 0.9169) and Sn at (0.0000, 0.0000, 0.5000).

Record 5
The following is a DFT calculation (PBE-GGA) of an optimized crystal structure of TbNd2Sm3Er6.

The value obtained for the formation energy is 1 kJ per mole of atoms.

The structure belongs to space group C2/m (No. 12); the cell edges are 6.1951, 10.7258 and 11.7470 Å and the angles 90.00°, 100.08° and 90.00°. The asymmetric unit holds Tb at (0.0000, 0.0000, 0.0000), Nd at (0.0000, 0.3334, 0.0000), Sm at (0.0000, 0.1667, 0.5000), Sm at (0.0000, 0.5000, 0.5000), Er at (0.2490, 0.0000, 0.7494) and Er at (0.2504, 0.1665, 0.2504).

Record 6
The following is a DFT calculation (PBE-GGA) of an optimized crystal structure of SrAgTe2.

Its uncorrected formation energy is -3.356 eV per formula unit.

The structure belongs to space group Fmmm (No. 69); the cell edges are 6.1950, 7.1941 and 21.8523 Å and the angles 90.00°, 90.00° and 90.00°. The asymmetric unit holds Sr at (0.0000, 0.0000, 0.1098), Ag at (0.2500, 0.2500, 0.2500), Te at (0.0000, 0.0000, 0.3296) and Te at (0.2500, 0.2500, 0.0000).